[1]
Density functional theory data (PBE-GGA) for a relaxed structure of NdGeH2Ru.

Geometry as POSCAR:
```
NdGeH2Ru
1.0
2.0045 -5.3833 0.0000
2.0045 5.3833 0.0000
0.0000 0.0000 6.0157
Nd Ge H Ru
2 2 4 2
Direct
0.2063 0.7937 0.7500
0.7937 0.2063 0.2500
0.0732 0.9268 0.2500
0.9268 0.0732 0.7500
0.3416 0.6584 0.0580
0.3416 0.6584 0.4420
0.6584 0.3416 0.5580
0.6584 0.3416 0.9420
0.5000 0.5000 0.0000
0.5000 0.5000 0.5000
```

Calculated values
Crystal system = orthorhombic



[2]
Density functional theory data (PBE-GGA) for a relaxed structure of Th4Cu6Sn7.

Geometry as POSCAR:
```
Th4Cu6Sn7
1.0
4.4166 0.0000 0.0000
0.0000 4.4166 0.0000
0.0000 0.0000 19.9642
Th Cu Sn
4 6 7
Direct
0.0000 0.0000 0.0000
0.0000 0.0000 0.4819
0.5000 0.5000 0.2226
0.5000 0.5000 0.7289
0.0000 0.0000 0.1770
0.0000 0.0000 0.7952
0.0000 0.5000 0.1183
0.0000 0.5000 0.6003
0.5000 0.0000 0.1183
0.5000 0.0000 0.6003
0.0000 0.0000 0.6690
0.0000 0.5000 0.3513
0.0000 0.5000 0.8708
0.5000 0.0000 0.3513
0.5000 0.0000 0.8708
0.5000 0.5000 0.0405
0.5000 0.5000 0.5224
```

Calculated values
Crystal system = tetragonal
Formation enthalpy at 0 K = -329.0 meV per atom



[3]
Density functional theory data (PBE-GGA) for a relaxed structure of KYC.

Geometry as POSCAR:
```
KYC
1.0
3.5335 0.0000 0.0000
0.0000 6.3195 0.0000
-0.0551 0.0000 8.2519
K Y C
2 2 2
Direct
0.0054 0.2500 0.3170
0.9946 0.7500 0.6830
0.4987 0.2500 0.9156
0.5013 0.7500 0.0844
0.0000 0.0000 0.0000
0.0000 0.5000 0.0000
```

Calculated values
Crystal system = monoclinic
Formation enthalpy at 0 K = 383.5 meV per atom



E, respectively: -5.65, -5.17, -5.21 eV/atom.